(1)
# PBE CsHg6Sb2, relaxed
data_CsHg6Sb2
_space_group_name_H-M_alt 'P 4/m m m'
_space_group_IT_number 123
_space_group_name_Hall '-P 4 2'
_cell_length_a 5.402
_cell_length_b 5.402
_cell_length_c 9.765
_cell_angle_alpha 90.00
_cell_angle_beta 90.00
_cell_angle_gamma 90.00
loop_
_atom_site_label
_atom_site_type_symbol
_atom_site_fract_x
_atom_site_fract_y
_atom_site_fract_z
_atom_site_occupancy
Cs1 Cs 0.000 0.000 0.000 1
Hg1 Hg 0.000 0.000 0.500 1
Hg2 Hg 0.000 0.500 0.312 1
Hg3 Hg 0.500 0.500 0.500 1
Sb1 Sb 0.500 0.500 0.145 1
# Total magnetic moment ... 0.000 μB/atom
# Electronic total energy ... -11.5 eV/f.u.

***

(2)
# PBE CsHgSb, relaxed
data_CsHgSb
_space_group_name_H-M_alt 'C 1 m 1'
_space_group_IT_number 8
_space_group_name_Hall 'C -2y'
_cell_length_a 13.510
_cell_length_b 4.357
_cell_length_c 9.840
_cell_angle_alpha 90.00
_cell_angle_beta 117.35
_cell_angle_gamma 90.00
loop_
_atom_site_label
_atom_site_type_symbol
_atom_site_fract_x
_atom_site_fract_y
_atom_site_fract_z
_atom_site_occupancy
Cs1 Cs 0.000 0.000 0.000 1
Cs2 Cs 0.246 0.500 0.476 1
Hg1 Hg 0.013 0.500 0.665 1
Hg2 Hg 0.230 0.000 0.811 1
Sb1 Sb 0.341 0.000 0.211 1
Sb2 Sb 0.489 0.500 0.377 1
# Total magnetic moment ... 0.000 μB/atom
# Electronic total energy ... -6.1 eV/f.u.

***

(3)
# PBE CsHg3Sb2, relaxed
data_CsHg3Sb2
_space_group_name_H-M_alt 'C 1 2/c 1'
_space_group_IT_number 15
_space_group_name_Hall '-C 2yc'
_cell_length_a 7.244
_cell_length_b 14.277
_cell_length_c 8.176
_cell_angle_alpha 90.00
_cell_angle_beta 102.29
_cell_angle_gamma 90.00
loop_
_atom_site_label
_atom_site_type_symbol
_atom_site_fract_x
_atom_site_fract_y
_atom_site_fract_z
_atom_site_occupancy
Cs1 Cs 0.000 0.097 0.250 1
Hg1 Hg 0.000 0.492 0.750 1
Hg2 Hg 0.007 0.319 0.971 1
Sb1 Sb 0.200 0.160 0.725 1
# Total magnetic moment ... 0.000 μB/atom
# Electronic total energy ... -10.7 eV/f.u.

***

(4)
# PBE CsHgSb, relaxed
data_CsHgSb
_space_group_name_H-M_alt 'I 4 m m'
_space_group_IT_number 107
_space_group_name_Hall 'I 4 -2'
_cell_length_a 4.267
_cell_length_b 4.267
_cell_length_c 13.508
_cell_angle_alpha 90.00
_cell_angle_beta 90.00
_cell_angle_gamma 90.00
loop_
_atom_site_label
_atom_site_type_symbol
_atom_site_fract_x
_atom_site_fract_y
_atom_site_fract_z
_atom_site_occupancy
Cs1 Cs 0.000 0.000 0.000 1
Hg1 Hg 0.000 0.000 0.741 1
Sb1 Sb 0.000 0.000 0.276 1
# Total magnetic moment ... 0.000 μB/atom
# Electronic total energy ... -5.8 eV/f.u.

***

(5)
# PBE CsHgSb, relaxed
data_CsHgSb
_space_group_name_H-M_alt 'P -6 m 2'
_space_group_IT_number 187
_space_group_name_Hall 'P -6 2'
_cell_length_a 4.9408
_cell_length_b 4.9408
_cell_length_c 5.9782
_cell_angle_alpha 90.00
_cell_angle_beta 90.00
_cell_angle_gamma 120.00
loop_
_atom_site_label
_atom_site_type_symbol
_atom_site_fract_x
_atom_site_fract_y
_atom_site_fract_z
_atom_site_occupancy
Cs1 Cs 0.0000 0.0000 0.0000 1
Hg1 Hg 0.3333 0.6667 0.5000 1
Sb1 Sb 0.6667 0.3333 0.5000 1
# Total magnetic moment ... 0.000 μB/atom
# Electronic total energy ... -6.4 eV/f.u.

***

(6)
# PBE CsHgSb, relaxed
data_CsHgSb
_space_group_name_H-M_alt 'P 1'
_space_group_IT_number 1
_space_group_name_Hall 'P 1'
_cell_length_a 4.301
_cell_length_b 6.759
_cell_length_c 9.592
_cell_angle_alpha 69.44
_cell_angle_beta 89.97
_cell_angle_gamma 89.94
loop_
_atom_site_label
_atom_site_type_symbol
_atom_site_fract_x
_atom_site_fract_y
_atom_site_fract_z
_atom_site_occupancy
Cs1 Cs 0.000 0.000 0.000 1
Cs2 Cs 0.000 0.306 0.383 1
Hg1 Hg 0.501 0.500 0.009 1
Hg2 Hg 0.501 0.816 0.374 1
Sb1 Sb 0.002 0.600 0.691 1
Sb2 Sb 0.501 0.886 0.692 1
# Total magnetic moment ... 0.000 μB/atom
# Electronic total energy ... -6.2 eV/f.u.

***

(7)
# PBE CsHgSb, relaxed
data_CsHgSb
_space_group_name_H-M_alt 'P m m m'
_space_group_IT_number 47
_space_group_name_Hall '-P 2 2'
_cell_length_a 4.984
_cell_length_b 5.890
_cell_length_c 8.673
_cell_angle_alpha 90.00
_cell_angle_beta 90.00
_cell_angle_gamma 90.00
loop_
_atom_site_label
_atom_site_type_symbol
_atom_site_fract_x
_atom_site_fract_y
_atom_site_fract_z
_atom_site_occupancy
Cs1 Cs 0.000 0.000 0.000 1
Cs2 Cs 0.500 0.000 0.500 1
Hg1 Hg 0.000 0.500 0.335 1
Sb1 Sb 0.500 0.500 0.169 1
# Total magnetic moment ... 0.000 μB/atom
# Electronic total energy ... -6.2 eV/f.u.

***

(8)
# PBE CsHgSb, relaxed
data_CsHgSb
_space_group_name_H-M_alt 'C 1 2/m 1'
_space_group_IT_number 12
_space_group_name_Hall '-C 2y'
_cell_length_a 14.274
_cell_length_b 4.280
_cell_length_c 8.737
_cell_angle_alpha 90.00
_cell_angle_beta 113.64
_cell_angle_gamma 90.00
loop_
_atom_site_label
_atom_site_type_symbol
_atom_site_fract_x
_atom_site_fract_y
_atom_site_fract_z
_atom_site_occupancy
Cs1 Cs 0.000 0.000 0.000 1
Cs2 Cs 0.000 0.000 0.500 1
Hg1 Hg 0.191 0.500 0.341 1
Sb1 Sb 0.203 0.500 0.883 1
# Total magnetic moment ... 0.000 μB/atom
# Electronic total energy ... -6.1 eV/f.u.

***

(9)
# PBE CsHgSb, relaxed
data_CsHgSb
_space_group_name_H-M_alt 'P -1'
_space_group_IT_number 2
_space_group_name_Hall '-P 1'
_cell_length_a 4.453
_cell_length_b 6.050
_cell_length_c 10.389
_cell_angle_alpha 73.19
_cell_angle_beta 78.61
_cell_angle_gamma 89.97
loop_
_atom_site_label
_atom_site_type_symbol
_atom_site_fract_x
_atom_site_fract_y
_atom_site_fract_z
_atom_site_occupancy
Cs1 Cs 0.145 0.391 0.221 1
Hg1 Hg 0.490 0.215 0.569 1
Sb1 Sb 0.294 0.047 0.904 1
# Total magnetic moment ... 0.000 μB/atom
# Electronic total energy ... -6.2 eV/f.u.

***

(10)
# PBE Cs2Hg4Sb, relaxed
data_Cs2Hg4Sb
_space_group_name_H-M_alt 'I 4/m m m'
_space_group_IT_number 139
_space_group_name_Hall '-I 4 2'
_cell_length_a 5.835
_cell_length_b 5.835
_cell_length_c 19.744
_cell_angle_alpha 90.00
_cell_angle_beta 90.00
_cell_angle_gamma 90.00
loop_
_atom_site_label
_atom_site_type_symbol
_atom_site_fract_x
_atom_site_fract_y
_atom_site_fract_z
_atom_site_occupancy
Cs1 Cs 0.000 0.000 0.136 1
Hg1 Hg 0.000 0.000 0.334 1
Hg2 Hg 0.000 0.500 0.000 1
Sb1 Sb 0.000 0.000 0.500 1
# Total magnetic moment ... 0.000 μB/atom
# Electronic total energy ... -8.3 eV/f.u.

***

(11)
# PBE Cs2Hg2Sb, relaxed
data_Cs2Hg2Sb
_space_group_name_H-M_alt 'P 4/m b m'
_space_group_IT_number 127
_space_group_name_Hall '-P 4 2ab'
_cell_length_a 10.675
_cell_length_b 10.675
_cell_length_c 3.930
_cell_angle_alpha 90.00
_cell_angle_beta 90.00
_cell_angle_gamma 90.00
loop_
_atom_site_label
_atom_site_type_symbol
_atom_site_fract_x
_atom_site_fract_y
_atom_site_fract_z
_atom_site_occupancy
Cs1 Cs 0.186 0.314 0.000 1
Hg1 Hg 0.108 0.608 0.500 1
Sb1 Sb 0.000 0.000 0.000 1
# Relative energy among the computed polymorphs ... 295 meV per atom
# Total magnetic moment ... 0.000 μB/atom

***

(12)
# PBE Cs3Hg4Sb4, relaxed
data_Cs3Hg4Sb4
_space_group_name_H-M_alt 'I m m m'
_space_group_IT_number 71
_space_group_name_Hall '-I 2 2'
_cell_length_a 5.194
_cell_length_b 5.719
_cell_length_c 28.338
_cell_angle_alpha 90.00
_cell_angle_beta 90.00
_cell_angle_gamma 90.00
loop_
_atom_site_label
_atom_site_type_symbol
_atom_site_fract_x
_atom_site_fract_y
_atom_site_fract_z
_atom_site_occupancy
Cs1 Cs 0.000 0.000 0.000 1
Cs2 Cs 0.000 0.500 0.350 1
Hg1 Hg 0.000 0.000 0.250 1
Hg2 Hg 0.000 0.500 0.098 1
Sb1 Sb 0.000 0.000 0.449 1
Sb2 Sb 0.000 0.500 0.200 1
# Total magnetic moment ... 0.000 μB/atom
# Electronic total energy ... -23.2 eV/f.u.

***

> Which value of total magnetic moment does entry 8 give?

0.000 μB/atom

***

> Which formula does entry 11 have?

Cs2Hg2Sb